[1]
# Li4Cu

A relaxed structure of Li4Cu (PBEsol, Alexandria via LeMat-Bulk).

Unit cell a=6.2330 b=6.2330 c=3.9442 alpha=90.00 beta=90.00 gamma=90.00
Closest atoms and distances in Å follow each position.
Space group I4/m (No. 87)
Symmetry-distinct sites (fractional):
1 Li 0.1061 0.2879 0.0000 [8 per cell]  9 Li 2.70-2.96, 3 Cu 2.75-2.79
2 Cu 0.0000 0.0000 0.5000 [2 per cell]  12 Li 2.75-2.79

Values from the calculation:
The calculation puts the total energy at -2.3969 eV per atom. Its crystal system is tetragonal.

---

[2]
# K2CdSb2

A relaxed structure of K2CdSb2 (PBEsol, Alexandria via LeMat-Bulk).

Unit cell a=7.6268 b=7.6268 c=5.6073 alpha=90.00 beta=90.00 gamma=90.00
Closest atoms and distances in Å follow each position.
Space group P4/mbm (No. 127)
Symmetry-distinct sites (fractional):
1 K 0.1666 0.3334 0.0000 [4 per cell]  6 Sb 3.52-3.64, 1 K 3.59
2 Cd 0.0000 0.0000 0.5000 [2 per cell]  4 Sb 2.96
3 Sb 0.1363 0.6363 0.5000 [4 per cell]  1 Sb 2.94, 2 Cd 2.96

Values from the calculation:
As for the energy relative to the elements, uncorrected: -0.31 eV per atom. The calculation puts the total energy at -2.8274 eV per atom. The distance to the lowest polymorph of the same formula is 0.0000 eV per atom. Its crystal system is tetragonal.

---

[3]
# PbAuO2

A relaxed structure of PbAuO2 (PBEsol, Alexandria via LeMat-Bulk).

Unit cell a=3.6683 b=3.6683 c=18.4762 alpha=90.00 beta=90.00 gamma=120.00
Closest atoms and distances in Å follow each position.
Space group R-3m (No. 166, hexagonal axes)
Symmetry-distinct sites (fractional):
1 Pb 0.0000 0.0000 0.0000 [3 per cell]  6 O 2.39
2 Au 0.0000 0.0000 0.5000 [3 per cell]  2 O 1.97
3 O 0.0000 0.0000 0.3933 [6 per cell]  1 Au 1.97

Values from the calculation:
As for the energy relative to the elements, uncorrected: -0.55 eV per atom. The calculation puts the total energy at -5.1601 eV per atom. Its crystal system is trigonal.

---

[4]
# Mo2AsPC

A relaxed structure of Mo2AsPC (PBEsol, Alexandria via LeMat-Bulk).

Unit cell a=4.3168 b=4.3168 c=3.4942 alpha=90.00 beta=90.00 gamma=90.00
Closest atoms and distances in Å follow each position.
Space group P4/mmm (No. 123)
Symmetry-distinct sites (fractional):
1 Mo 0.0000 0.5000 0.0000 [2 per cell]  2 C 2.16
2 As 0.0000 0.0000 0.5000 [1 per cell]  8 Mo 2.78, 4 P 3.05
3 P 0.5000 0.5000 0.5000 [1 per cell]  2 C 1.75
4 C 0.5000 0.5000 0.0000 [1 per cell]  2 P 1.75

Values from the calculation:
The calculation puts the total energy at -8.3609 eV per atom. Its crystal system is tetragonal.

---

[5]
# NbNF2

A relaxed structure of NbNF2 (PBEsol, Alexandria via LeMat-Bulk).

Unit cell a=5.2590 b=5.2590 c=5.2590 alpha=90.00 beta=90.00 gamma=90.00
Closest atoms and distances in Å follow each position.
Space group Fm-3m (No. 225)
Symmetry-distinct sites (fractional):
1 Nb 0.0000 0.0000 0.0000 [4 per cell]  8 F 2.28
2 N 0.0000 0.0000 0.5000 [4 per cell]  8 F 2.28
3 F 0.2500 0.2500 0.2500 [8 per cell]  4 Nb 2.28, 4 N 2.28

Values from the calculation:
As for the energy relative to the elements, uncorrected: -0.67 eV per atom. The calculation puts the total energy at -6.4731 eV per atom. The distance to the lowest polymorph of the same formula is 0.0000 eV per atom. Its crystal system is cubic.

---

[6]
# HOsNO2

A relaxed structure of HOsNO2 (PBEsol, Alexandria via LeMat-Bulk).

Unit cell a=3.7028 b=3.7028 c=2.6493 alpha=90.00 beta=90.00 gamma=90.00
Closest atoms and distances in Å follow each position.
Space group P4/mmm (No. 123)
Symmetry-distinct sites (fractional):
1 H 0.0000 0.0000 0.0000 [1 per cell]  2 N 1.32
2 Os 0.5000 0.5000 0.5000 [1 per cell]  8 O 2.28
3 N 0.0000 0.0000 0.5000 [1 per cell]  2 H 1.32
4 O 0.0000 0.5000 0.0000 [2 per cell]  2 H 1.85

Values from the calculation:
The calculation puts the total energy at -5.7373 eV per atom. Its crystal system is tetragonal.

---

[7]
# RbZrCd2W

A relaxed structure of RbZrCd2W (PBEsol, Alexandria via LeMat-Bulk).

Unit cell a=5.1956 b=5.1956 c=5.1331 alpha=90.00 beta=90.00 gamma=90.00
Closest atoms and distances in Å follow each position.
Space group P4/mmm (No. 123)
Symmetry-distinct sites (fractional):
1 Rb 0.0000 0.0000 0.0000 [1 per cell]  2 Zr 2.57, 4 Cd 2.60
2 Zr 0.0000 0.0000 0.5000 [1 per cell]  2 Rb 2.57
3 Cd 0.0000 0.5000 0.0000 [2 per cell]  2 Rb 2.60
4 W 0.5000 0.5000 0.5000 [1 per cell]  8 Cd 3.65, 4 Zr 3.67

Values from the calculation:
The calculation puts the total energy at -2.5627 eV per atom. Its crystal system is tetragonal.

---

[8]
# YAgTe2

A relaxed structure of YAgTe2 (PBEsol, Alexandria via LeMat-Bulk).

Unit cell a=4.4353 b=4.4353 c=7.1134 alpha=90.00 beta=90.00 gamma=120.00
Closest atoms and distances in Å follow each position.
Space group P3m1 (No. 156)
Symmetry-distinct sites (fractional):
1 Y 0.0000 0.0000 0.0000 [1 per cell]  6 Te 3.03-3.12
2 Ag 0.6667 0.3333 0.6101 [1 per cell]  4 Te 2.72-2.75
3 Te 0.3333 0.6667 0.7505 [1 per cell]  3 Ag 2.75
4 Te 0.6667 0.3333 0.2271 [1 per cell]  1 Ag 2.72, 3 Y 3.03

Values from the calculation:
As for the energy relative to the elements, uncorrected: -0.88 eV per atom. The calculation puts the total energy at -5.1742 eV per atom. Its crystal system is trigonal.

---

[9]
# CuTc2Ir

A relaxed structure of CuTc2Ir (PBEsol, Alexandria via LeMat-Bulk).

Unit cell a=3.7112 b=3.7112 c=3.8892 alpha=90.00 beta=90.00 gamma=90.00
Closest atoms and distances in Å follow each position.
Space group P4/mmm (No. 123)
Symmetry-distinct sites (fractional):
1 Cu 0.0000 0.0000 0.0000 [1 per cell]  4 Ir 2.62, 8 Tc 2.69
2 Tc 0.0000 0.5000 0.5000 [2 per cell]  4 Tc 2.62, 4 Cu 2.69, 4 Ir 2.69
3 Ir 0.5000 0.5000 0.0000 [1 per cell]  4 Cu 2.62, 8 Tc 2.69

Values from the calculation:
The calculation puts the total energy at -8.9917 eV per atom. Its crystal system is tetragonal.

---

[10]
# BaMg2Cd2

A relaxed structure of BaMg2Cd2 (PBEsol, Alexandria via LeMat-Bulk).

Unit cell a=4.7044 b=4.7044 c=12.8769 alpha=90.00 beta=90.00 gamma=90.00
Closest atoms and distances in Å follow each position.
Space group I4/mmm (No. 139)
Symmetry-distinct sites (fractional):
1 Ba 0.0000 0.0000 0.0000 [2 per cell]  8 Cd 3.63, 8 Mg 3.99
2 Mg 0.0000 0.5000 0.2500 [4 per cell]  4 Cd 2.94
3 Cd 0.0000 0.0000 0.3874 [4 per cell]  1 Cd 2.90, 4 Mg 2.94

Values from the calculation:
The calculation puts the total energy at -1.8103 eV per atom. Its crystal system is tetragonal.

---

[11]
# ZnPH7C2N4O5

A relaxed structure of ZnPH7C2N4O5 (PBEsol, Alexandria via LeMat-Bulk).

Unit cell a=13.6393 b=5.0130 c=10.5658 alpha=90.00 beta=95.14 gamma=90.00
Closest atoms and distances in Å follow each position.
Space group P2_1/c (No. 14)
Symmetry-distinct sites (fractional):
1 Zn 0.0015 0.2055 0.1409 [4 per cell]  4 O 1.91-1.99
2 P 0.1262 0.7270 0.1163 [4 per cell]  4 O 1.53-1.58
3 H 0.1782 0.1938 0.4491 [4 per cell]  1 N 1.03
4 H 0.2147 0.0191 0.3118 [4 per cell]  1 N 1.04
5 H 0.2714 0.5458 0.5308 [4 per cell]  1 N 1.05
6 H 0.3393 0.6426 0.1233 [4 per cell]  1 N 1.04
7 H 0.3614 0.1090 0.2347 [4 per cell]  1 N 1.02
8 H 0.4331 0.1139 0.8001 [4 per cell]  1 N 1.03
9 H 0.4497 0.0194 0.5794 [4 per cell]  1 N 1.04
10 C 0.3061 0.1852 0.8780 [4 per cell]  3 N 1.32-1.36
11 C 0.4006 0.6956 0.4715 [4 per cell]  1 O 1.26, 2 N 1.34-1.39
12 N 0.2260 0.1676 0.3801 [4 per cell]  2 H 1.03-1.04
13 N 0.3232 0.5133 0.4650 [4 per cell]  1 H 1.05
14 N 0.3711 0.2314 0.7940 [4 per cell]  2 H 1.02-1.03
15 N 0.3986 0.6339 0.0683 [4 per cell]  2 H 1.04
16 O 0.0481 0.6517 0.7027 [4 per cell]  1 P 1.58
17 O 0.1061 0.6410 0.4840 [4 per cell]  1 P 1.55
18 O 0.1123 0.0781 0.6070 [4 per cell]  1 P 1.54
19 O 0.2300 0.6953 0.6718 [4 per cell]  1 P 1.53
20 O 0.4648 0.6967 0.3932 [4 per cell]  1 C 1.26

Values from the calculation:
The calculation puts the total energy at -6.4619 eV per atom. Its crystal system is monoclinic.

---

[12]
# Li2MgSi

A relaxed structure of Li2MgSi (PBEsol, Alexandria via LeMat-Bulk).

Unit cell a=5.4939 b=9.1051 c=2.7652 alpha=90.00 beta=109.39 gamma=90.00
Closest atoms and distances in Å follow each position.
Space group C2/m (No. 12)
Symmetry-distinct sites (fractional):
1 Li 0.2500 0.2500 0.0000 [4 per cell]  4 Li 2.75-2.77, 2 Mg 2.78, 2 Si 2.78
2 Mg 0.0000 0.0000 0.5000 [2 per cell]  2 Si 2.75, 2 Mg 2.77, 4 Li 2.78
3 Si 0.0000 0.5000 0.5000 [2 per cell]  2 Mg 2.75, 2 Si 2.77, 4 Li 2.78

Values from the calculation:
As for the energy relative to the elements, uncorrected: -0.04 eV per atom. The calculation puts the total energy at -2.8921 eV per atom. Its crystal system is monoclinic.

---

Computed values of density (unit: g cm⁻³) for the preceding records, in sequence: 2.0, 4.4, 10.1, 7.9, 6.6, 10.8, 7.0, 6.2, 14.0, 4.8, 2.4, 1.7.